Entry 1:
Here is a geometry-optimized Mg2PdAu4 structure from Alexandria. Energies are from PBE.

Structure (extended XYZ):
```
7
Lattice="-1.8705 1.8705 9.8425 1.8705 -1.8705 9.8425 1.8705 1.8705 -9.8425" Properties=species:S:1:pos:R:3 pbc="T T T"
Mg 0.0000 0.0000 1.5066
Mg 0.0000 0.0000 18.1783
Pd 0.0000 0.0000 9.8425
Au 1.8705 0.0000 4.9212
Au 0.0000 0.0000 7.1603
Au 0.0000 0.0000 12.5247
Au 0.0000 1.8705 4.9212
```

VASP energy	-23.4	eV per cell
SG	I4/mmm

=====

Entry 2:
Here is a geometry-optimized CsPr2RuO8 structure from Alexandria. Energies are from PBE.

Structure (extended XYZ):
```
12
Lattice="4.8026 0.0000 0.0000 -0.4694 4.8113 0.0000 -0.8065 -0.8371 8.1751" Properties=species:S:1:pos:R:3 pbc="T T T"
Cs 0.0000 0.0000 0.0000
Pr 1.3391 1.5447 5.8428
Pr 2.1876 2.4295 2.3323
Ru -0.4033 -0.4185 4.0876
O -0.1737 3.1931 2.7347
O 0.8233 0.9243 3.5597
O 0.3668 3.8290 5.4640
O 1.6034 2.9028 0.0027
O 1.9233 1.0714 8.1725
O 3.1599 0.1451 2.7111
O 2.7033 3.0498 4.6155
O 3.7004 0.7811 5.4404
```

formation energy from raw total energies	-1795.1	meV/atom
SG	P-1

=====

Entry 3:
Here is a geometry-optimized CaHg4H2 structure from Alexandria. Energies are from PBE.

Structure (extended XYZ):
```
7
Lattice="3.8665 0.0000 0.0000 -1.9168 5.1763 0.0000 -1.8918 -1.4669 8.4412" Properties=species:S:1:pos:R:3 pbc="T T T"
Ca 0.0000 0.0000 0.0000
Hg -1.8975 4.4789 3.1119
Hg 0.0175 2.9377 1.2748
Hg 0.0405 0.7717 7.1663
Hg 1.9555 -0.7695 5.3293
H 0.0053 1.1574 1.9968
H 0.0526 2.5520 6.4443
```

VASP energy	-10.2	eV per cell
SG	P-1

=====

Entry 4:
Here is a geometry-optimized LaCeSm2N4 structure from Alexandria. Energies are from PBE.

Structure (extended XYZ):
```
8
Lattice="6.2556 0.0000 0.0000 0.0000 3.6214 0.0000 -2.0747 0.0000 5.9194" Properties=species:S:1:pos:R:3 pbc="T T T"
La 0.0000 0.0000 0.0000
Ce -1.0374 1.8107 2.9597
Sm 2.0904 0.0000 2.9597
Sm 3.1278 1.8107 0.0000
N 0.0070 0.0000 4.3808
N 1.0183 1.8107 1.5537
N 3.1626 1.8107 4.3657
N 4.1739 0.0000 1.5386
```

formation energy from raw total energies	-1445.4	meV/atom
SG	P2/m

=====

Entry 5:
Here is a geometry-optimized ScMn4V structure from Alexandria. Energies are from PBE.

Structure (extended XYZ):
```
6
Lattice="0.0000 3.3922 3.3922 3.3922 0.0000 3.3922 3.3922 3.3922 0.0000" Properties=species:S:1:pos:R:3 pbc="T T T"
Sc 0.0000 0.0000 0.0000
Mn 2.5469 2.5469 2.5469
Mn 4.2376 4.2376 2.5469
Mn 4.2376 2.5469 4.2376
Mn 2.5469 4.2376 4.2376
V 5.0884 5.0884 5.0884
```

VASP energy	-52.6	eV per cell
SG	F-43m

=====

Entry 6:
Here is a geometry-optimized TaInFeRu structure from Alexandria. Energies are from PBE.

Structure (extended XYZ):
```
4
Lattice="0.0000 3.1340 3.1340 3.1340 0.0000 3.1340 3.1340 3.1340 0.0000" Properties=species:S:1:pos:R:3 pbc="T T T"
Ta 0.0000 0.0000 0.0000
In 3.1340 3.1340 3.1340
Fe 1.5670 1.5670 1.5670
Ru 4.7010 4.7010 4.7010
```

VASP energy	-32.9	eV per cell
SG	F-43m

=====

Entry 7:
Here is a geometry-optimized CsScCr2Co structure from Alexandria. Energies are from PBE.

Structure (extended XYZ):
```
5
Lattice="4.9953 0.0000 0.0000 0.0000 4.9953 0.0000 0.0000 0.0000 5.8317" Properties=species:S:1:pos:R:3 pbc="T T T"
Cs 0.0000 0.0000 0.0000
Sc 0.0000 0.0000 2.9159
Cr 0.0000 2.4977 2.9159
Cr 2.4977 0.0000 2.9159
Co 2.4977 2.4977 0.0000
```

VASP energy	-23.0	eV per cell
SG	P4/mmm

=====

Entry 8:
Here is a geometry-optimized SrIn4Ir2 structure from Alexandria. Energies are from PBE.

Structure (extended XYZ):
```
7
Lattice="2.2649 -7.9274 0.0000 2.2649 7.9274 0.0000 0.0000 0.0000 4.6359" Properties=species:S:1:pos:R:3 pbc="T T T"
Sr 0.0000 0.0000 0.0000
In 2.2649 5.1985 2.3180
In 2.2649 2.7748 0.0000
In 2.2649 -2.7748 0.0000
In 2.2649 -5.1985 2.3180
Ir 2.2649 1.2093 2.3180
Ir 2.2649 -1.2093 2.3180
```

VASP energy	-31.7	eV per cell
SG	Cmmm

=====

Entry 9:
Here is a geometry-optimized SmMnCo structure from Alexandria. Energies are from PBE.

Structure (extended XYZ):
```
3
Lattice="4.0121 0.0000 0.0000 -2.0061 3.4746 0.0000 0.0000 0.0000 4.0641" Properties=species:S:1:pos:R:3 pbc="T T T"
Sm 0.0000 0.0000 0.0000
Mn 2.0061 1.1582 2.0320
Co 0.0000 2.3164 2.0320
```

VASP energy	-20.8	eV per cell
SG	P-6m2

=====

Entry 10:
Here is a geometry-optimized Tl10GaHg4 structure from Alexandria. Energies are from PBE.

Structure (extended XYZ):
```
15
Lattice="-5.7191 5.7191 3.7054 5.7191 -5.7191 3.7054 5.7191 5.7191 -3.7054" Properties=species:S:1:pos:R:3 pbc="T T T"
Tl 4.5742 3.4842 -1.9379
Tl 2.2349 -1.1449 1.7674
Tl 5.7191 0.0000 1.8527
Tl 3.4842 6.8640 -1.9379
Tl 1.1449 2.2349 1.7674
Tl 4.5742 3.4842 1.9379
Tl 2.2349 -1.1449 5.6433
Tl 0.0000 5.7191 1.8527
Tl 3.4842 6.8640 1.9379
Tl 1.1449 2.2349 5.6433
Ga 0.0000 0.0000 0.0000
Hg 6.8252 2.3460 0.0000
Hg 2.3460 4.6130 0.0000
Hg 3.3731 1.1061 3.7054
Hg -1.1061 3.3731 3.7054
```

VASP energy	-27.0	eV per cell
SG	I4/m

=====

Entry 11:
Here is a geometry-optimized TbHfNi2P2 structure from Alexandria. Energies are from PBE.

Structure (extended XYZ):
```
6
Lattice="3.8166 0.0000 0.0000 -1.9083 3.3052 0.0000 0.0000 0.0000 7.5130" Properties=species:S:1:pos:R:3 pbc="T T T"
Tb 0.0000 0.0000 0.0000
Hf 0.0000 0.0000 3.7565
Ni 0.0000 2.2035 5.4519
Ni 1.9083 1.1017 2.0611
P 0.0000 2.2035 1.9733
P 1.9083 1.1017 5.5397
```

VASP energy	-43.8	eV per cell
SG	P-3m1

=====

Entry 12:
Here is a geometry-optimized MgReMo structure from Alexandria. Energies are from PBE.

Structure (extended XYZ):
```
3
Lattice="0.0000 2.2636 6.9710 1.5502 0.0000 6.9710 1.5502 2.2636 0.0000" Properties=species:S:1:pos:R:3 pbc="T T T"
Mg 0.0000 0.0000 0.0000
Re 1.5502 2.2636 9.3534
Mo 1.5502 2.2636 4.5241
```

VASP energy	-24.2	eV per cell
SG	Fmm2

=====

Entry 13:
Here is a geometry-optimized KHfPO6 structure from Alexandria. Energies are from PBE.

Structure (extended XYZ):
```
9
Lattice="5.1737 0.0000 0.0000 -2.5868 4.4805 0.0000 0.0000 0.0000 5.8744" Properties=species:S:1:pos:R:3 pbc="T T T"
K 0.0000 0.0000 0.0000
Hf 0.0000 2.9870 2.9372
P 2.5868 1.4935 2.9372
O 1.9719 0.2422 3.9199
O 1.1957 1.5866 1.9545
O 3.2018 0.2422 1.9545
O 1.8107 2.6517 3.9199
O 3.9779 1.5866 3.9199
O 3.3630 2.6517 1.9545
```

formation energy from raw total energies	-1999.8	meV/atom
SG	P312

=====

Entry 14:
Here is a geometry-optimized SrCeDy2Se4 structure from Alexandria. Energies are from PBE.

Structure (extended XYZ):
```
8
Lattice="7.2679 0.0000 0.0000 0.0000 4.1597 0.0000 -2.3816 0.0000 6.8781" Properties=species:S:1:pos:R:3 pbc="T T T"
Sr 0.0000 0.0000 0.0000
Ce -1.1908 2.0798 3.4391
Dy 2.4431 0.0000 3.4391
Dy 3.6339 2.0798 0.0000
Se 0.1270 0.0000 5.1778
Se 1.3216 2.0798 1.7767
Se 3.5647 2.0798 5.1014
Se 4.7593 0.0000 1.7003
```

formation energy from raw total energies	-1819.6	meV/atom
SG	P2/m

=====

Entry 15:
Here is a geometry-optimized K2NaSi structure from Alexandria. Energies are from PBE.

Structure (extended XYZ):
```
8
Lattice="-2.4813 2.4813 11.9893 2.4813 -2.4813 11.9893 2.4813 2.4813 -11.9893" Properties=species:S:1:pos:R:3 pbc="T T T"
K 3.7219 1.1726 -2.9973
K 1.1726 1.2406 2.9973
K -1.2406 1.3087 8.9920
K 1.3087 1.2406 14.9867
Na 2.4813 0.0000 5.9947
Na 0.0000 0.0000 11.9893
Si 0.0000 0.0000 0.0000
Si 0.0000 2.4813 5.9947
```

formation energy from raw total energies	457.4	meV/atom
SG	I-42d

=====

Entry 16:
Here is a geometry-optimized Sr4TaIr structure from Alexandria. Energies are from PBE.

Structure (extended XYZ):
```
6
Lattice="0.0000 4.5618 4.5618 4.5618 0.0000 4.5618 4.5618 4.5618 0.0000" Properties=species:S:1:pos:R:3 pbc="T T T"
Sr 1.1445 1.1445 1.1445
Sr 3.4172 3.4172 1.1445
Sr 3.4172 1.1445 3.4172
Sr 1.1445 3.4172 3.4172
Ta 6.8426 6.8426 6.8426
Ir 4.5618 4.5618 4.5618
```

VASP energy	-18.6	eV per cell
SG	F-43m

=====

Entry 17:
Here is a geometry-optimized Tl2Sb2Ru structure from Alexandria. Energies are from PBE.

Structure (extended XYZ):
```
10
Lattice="6.8603 0.0000 0.0000 0.0000 6.8603 0.0000 0.0000 0.0000 5.7469" Properties=species:S:1:pos:R:3 pbc="T T T"
Tl 1.2339 2.1963 0.0000
Tl 2.1963 5.6265 0.0000
Tl 4.6641 1.2339 0.0000
Tl 5.6265 4.6641 0.0000
Sb 1.0470 4.4772 2.8735
Sb 2.3831 1.0470 2.8735
Sb 4.4772 5.8133 2.8735
Sb 5.8133 2.3831 2.8735
Ru 0.0000 0.0000 2.8735
Ru 3.4302 3.4302 2.8735
```

formation energy from raw total energies	116.5	meV/atom
SG	P4/mbm

=====

Entry 18:
Here is a geometry-optimized Zn2GaHO structure from Alexandria. Energies are from PBE.

Structure (extended XYZ):
```
5
Lattice="4.7952 0.0000 0.0000 0.0000 4.7952 0.0000 0.0000 0.0000 3.3171" Properties=species:S:1:pos:R:3 pbc="T T T"
Zn 0.0000 2.3976 0.0000
Zn 2.3976 0.0000 0.0000
Ga 0.0000 0.0000 0.0000
H 0.0000 0.0000 1.6586
O 2.3976 2.3976 1.6586
```

VASP energy	-11.2	eV per cell
SG	P4/mmm

=====

Entry 19:
Here is a geometry-optimized TaIn4Ir structure from Alexandria. Energies are from PBE.

Structure (extended XYZ):
```
6
Lattice="0.0000 3.9846 3.9846 3.9846 0.0000 3.9846 3.9846 3.9846 0.0000" Properties=species:S:1:pos:R:3 pbc="T T T"
Ta 0.0000 0.0000 0.0000
In 4.9803 2.9888 2.9888
In 2.9888 4.9803 2.9888
In 2.9888 2.9888 4.9803
In 4.9803 4.9803 4.9803
Ir 1.9923 1.9923 1.9923
```

VASP energy	-26.2	eV per cell
SG	F-43m

=====

Entry 20:
Here is a geometry-optimized Sm2MnAl4Au3 structure from Alexandria. Energies are from PBE.

Structure (extended XYZ):
```
10
Lattice="4.2776 0.0000 0.0000 0.0000 4.2776 0.0000 0.0000 0.0000 10.9122" Properties=species:S:1:pos:R:3 pbc="T T T"
Sm 0.0000 2.1388 2.6832
Sm 2.1388 0.0000 8.2290
Mn 2.1388 2.1388 0.0000
Al 0.0000 0.0000 5.4561
Al 0.0000 2.1388 9.4542
Al 2.1388 0.0000 1.4580
Al 2.1388 2.1388 5.4561
Au 0.0000 0.0000 0.0000
Au 0.0000 2.1388 6.9288
Au 2.1388 0.0000 3.9834
```

VASP energy	-49.4	eV per cell
SG	P-4m2

=====

Entry 21:
Here is a geometry-optimized HfCu structure from Alexandria. Energies are from PBE.

Structure (extended XYZ):
```
6
Lattice="3.2405 0.0000 0.0000 0.0000 3.2405 0.0000 0.0000 0.0000 9.7499" Properties=species:S:1:pos:R:3 pbc="T T T"
Hf 0.0000 0.0000 0.0000
Hf 0.0000 0.0000 3.3376
Hf 1.6202 1.6202 5.3767
Cu 0.0000 0.0000 6.9709
Cu 1.6202 1.6202 1.6070
Cu 1.6202 1.6202 8.2118
```

VASP energy	-43.0	eV per cell
SG	P4mm

=====

Entry 22:
Here is a geometry-optimized La15Ho4Tm structure from Alexandria. Energies are from PBE.

Structure (extended XYZ):
```
20
Lattice="5.1985 0.0000 0.0000 0.0000 5.1985 0.0000 0.0000 0.0000 25.9934" Properties=species:S:1:pos:R:3 pbc="T T T"
La 0.0000 0.0000 0.0000
La 0.0000 0.0000 5.1994
La 0.0000 0.0000 10.3988
La 0.0000 0.0000 15.5946
La 0.0000 0.0000 20.7940
La 0.0000 2.5992 2.5935
La 0.0000 2.5992 7.7973
La 0.0000 2.5992 12.9967
La 0.0000 2.5992 18.1960
La 0.0000 2.5992 23.3999
La 2.5992 0.0000 2.5935
La 2.5992 0.0000 7.7973
La 2.5992 0.0000 12.9967
La 2.5992 0.0000 18.1960
La 2.5992 0.0000 23.3999
Ho 2.5992 2.5992 5.1959
Ho 2.5992 2.5992 10.3991
Ho 2.5992 2.5992 15.5943
Ho 2.5992 2.5992 20.7975
Tm 2.5992 2.5992 0.0000
```

VASP energy	-96.6	eV per cell
SG	P4/mmm

=====

Entry 23:
Here is a geometry-optimized Ho3ErSc6 structure from Alexandria. Energies are from PBE.

Structure (extended XYZ):
```
10
Lattice="4.6088 2.6609 3.7669 -4.6088 2.6609 3.7669 0.0000 -5.3218 3.7669" Properties=species:S:1:pos:R:3 pbc="T T T"
Ho 0.0000 0.0000 0.0000
Ho 0.0000 0.0000 2.7858
Ho 0.0000 0.0000 8.4377
Er 0.0000 0.0000 5.6472
Sc -3.0433 -0.0087 4.5436
Sc -1.5581 -2.6641 6.4303
Sc 1.5292 -2.6312 4.5436
Sc -1.5281 2.6814 6.4303
Sc 1.5141 2.6400 4.5436
Sc 3.0862 -0.0173 6.4303
```

VASP energy	-52.3	eV per cell
SG	R3

=====

Entry 24:
Here is a geometry-optimized Ac3Zn structure from Alexandria. Energies are from PBE.

Structure (extended XYZ):
```
4
Lattice="0.0000 4.2140 4.2140 4.2140 0.0000 4.2140 4.2140 4.2140 0.0000" Properties=species:S:1:pos:R:3 pbc="T T T"
Ac 0.0000 0.0000 0.0000
Ac 2.1070 2.1070 2.1070
Ac 6.3209 6.3209 6.3209
Zn 4.2140 4.2140 4.2140
```

VASP energy	-13.0	eV per cell
SG	Fm-3m